1.
Er2PuTh: relaxed, GGA-PBE.

Cell lengths 3.671, 5.757, 5.757 Å; angles 90.00, 90.00, 90.00 degrees
Last column: magnetic moment on the atom in μB.
Sites, in units of the cell vectors:
1 Er 0.000 0.500 0.000  0.14
2 Er 0.000 0.000 0.500  0.14
3 Th 0.500 0.500 0.500  -0.07
4 Pu 0.500 0.000 0.000  5.58

2.
Sm2Dy2Ho: relaxed, GGA-PBE.

Cell lengths 6.299, 8.500, 9.621 Å; angles 43.31, 70.89, 68.25 degrees
Sites, in units of the cell vectors:
1 Ho 0.583 0.750 0.250
2 Ho 0.417 0.250 0.750
3 Sm 0.614 0.253 0.349
4 Sm 0.215 0.247 0.151
5 Sm 0.386 0.747 0.651
6 Sm 0.785 0.753 0.849
7 Dy 0.985 0.745 0.451
8 Dy 0.015 0.255 0.549
9 Dy 0.819 0.245 0.951
10 Dy 0.181 0.755 0.049

no.,total energy (eV per cell),DFT formation energy (eV per atom),size of the total moment (μB/f.u.)
1,-30.1,0.20,6.23
2,-46.3,0.02,0.00